Model i:
Density functional theory data (meta-GGA SCAN) for a PBEsol-optimized structure of BeSi2Pt2.

- Crystal system: tetragonal
- Symmetry: No. 127

Cell: 3.917 6.011 6.011 Å, 90.00 90.00 90.00°
Sites, in units of the cell vectors:
1 Be 0.000 0.000 0.000
2 Be 0.000 0.500 0.500
3 Si 0.000 0.370 0.870
4 Si 0.000 0.870 0.630
5 Si 0.000 0.630 0.130
6 Si 0.000 0.130 0.370
7 Pt 0.500 0.226 0.726
8 Pt 0.500 0.726 0.774
9 Pt 0.500 0.774 0.274
10 Pt 0.500 0.274 0.226

=====

Model ii:
Density functional theory data (meta-GGA SCAN) for a PBEsol-optimized structure of BeSi2Pt2.

- Crystal system: tetragonal
- Symmetry: No. 127

Cell: 3.513 6.351 6.351 Å, 90.00 90.00 90.00°
Sites, in units of the cell vectors:
1 Be 0.000 0.000 0.000
2 Be 0.000 0.500 0.500
3 Si 0.500 0.148 0.648
4 Si 0.500 0.648 0.852
5 Si 0.500 0.852 0.352
6 Si 0.500 0.352 0.148
7 Pt 0.000 0.338 0.838
8 Pt 0.000 0.838 0.662
9 Pt 0.000 0.662 0.162
10 Pt 0.000 0.162 0.338

=====

Verdict on stability: model i comes out at the bottom.

=====

Model i:
Density functional theory data (meta-GGA SCAN) for a PBEsol-optimized structure of BeTePt2.

- Crystal system: trigonal
- Symmetry: No. 166

Cell: 3.665 3.665 5.997 Å, 72.21 72.21 60.00°
Sites, in units of the cell vectors:
1 Be 0.000 0.000 0.000
2 Te 0.500 0.500 0.500
3 Pt 0.278 0.278 0.165
4 Pt 0.722 0.722 0.835

=====

Model ii:
Density functional theory data (meta-GGA SCAN) for a PBEsol-optimized structure of BeTePt2.

- Crystal system: cubic
- Symmetry: No. 216

Cell: 4.495 4.495 4.495 Å, 60.00 60.00 60.00°
Sites, in units of the cell vectors:
1 Be 0.500 0.500 0.500
2 Te 0.750 0.750 0.750
3 Pt 0.000 0.000 0.000
4 Pt 0.250 0.250 0.250

=====

Verdict on stability: model ii comes out at the bottom.

=====

Model i:
Density functional theory data (meta-GGA SCAN) for a PBEsol-optimized structure of Be2TlPt.

- Crystal system: cubic
- Symmetry: No. 216

Cell: 4.334 4.334 4.334 Å, 60.00 60.00 60.00°
Sites, in units of the cell vectors:
1 Be 0.000 0.000 0.000
2 Be 0.750 0.750 0.750
3 Tl 0.250 0.250 0.250
4 Pt 0.500 0.500 0.500

=====

Model ii:
Density functional theory data (meta-GGA SCAN) for a PBEsol-optimized structure of Be2TlPt.

- Crystal system: tetragonal
- Symmetry: No. 139

Cell: 4.279 4.218 4.218 Å, 60.92 59.52 59.52°
Sites, in units of the cell vectors:
1 Be 0.250 0.750 0.750
2 Be 0.750 0.250 0.250
3 Tl 0.000 0.500 0.500
4 Pt 0.500 0.000 0.000

=====

Verdict on stability: model i comes out at the bottom.

=====

Model i:
Density functional theory data (meta-GGA SCAN) for a PBEsol-optimized structure of YBePt.

- Crystal system: cubic
- Symmetry: No. 216

Cell: 4.493 4.493 4.493 Å, 60.00 60.00 60.00°
Sites, in units of the cell vectors:
1 Y 0.250 0.250 0.250
2 Be 0.000 0.000 0.000
3 Pt 0.500 0.500 0.500

=====

Model ii:
Density functional theory data (meta-GGA SCAN) for a PBEsol-optimized structure of YBePt.

- Crystal system: hexagonal
- Symmetry: No. 187

Cell: 3.820 3.999 3.999 Å, 120.00 90.00 90.00°
Sites, in units of the cell vectors:
1 Y 0.500 0.667 0.333
2 Be 0.000 0.000 0.000
3 Pt 0.000 0.333 0.667

=====

Verdict on stability: model i comes out at the bottom.

=====

Model i:
Density functional theory data (meta-GGA SCAN) for a PBEsol-optimized structure of ZrBePt.

- Crystal system: orthorhombic
- Symmetry: No. 44

Cell: 2.829 3.144 5.403 Å, 106.91 105.18 90.00°
Sites, in units of the cell vectors:
1 Be 0.972 0.972 0.943
2 Zr 0.664 0.664 0.327
3 Pt 0.365 0.365 0.729

=====

Model ii:
Density functional theory data (meta-GGA SCAN) for a PBEsol-optimized structure of ZrBePt.

- Crystal system: hexagonal
- Symmetry: No. 187

Cell: 3.152 4.099 4.099 Å, 120.00 90.00 90.00°
Sites, in units of the cell vectors:
1 Be 0.000 0.000 0.000
2 Pt 0.000 0.667 0.333
3 Zr 0.500 0.333 0.667

=====

Verdict on stability: model i comes out at the bottom.

=====

Model i:
Density functional theory data (meta-GGA SCAN) for a PBEsol-optimized structure of Be2Re.

- Crystal system: orthorhombic
- Symmetry: No. 63

Cell: 3.215 3.218 6.149 Å, 90.00 105.16 90.00°
Sites, in units of the cell vectors:
1 Re 0.587 0.250 0.175
2 Re 0.413 0.750 0.825
3 Be 0.886 0.250 0.771
4 Be 0.114 0.750 0.229
5 Be 0.250 0.250 0.500
6 Be 0.750 0.750 0.500

=====

Model ii:
Density functional theory data (meta-GGA SCAN) for a PBEsol-optimized structure of Be2Re.

- Crystal system: cubic
- Symmetry: No. 227

Cell: 4.348 4.348 4.348 Å, 60.00 60.00 60.00°
Sites, in units of the cell vectors:
1 Re 0.750 0.750 0.750
2 Re 0.500 0.500 0.500
3 Be 0.125 0.125 0.625
4 Be 0.625 0.125 0.125
5 Be 0.125 0.125 0.125
6 Be 0.125 0.625 0.125

=====

Verdict on stability: model i comes out at the bottom.

=====

Model i:
Density functional theory data (meta-GGA SCAN) for a PBEsol-optimized structure of Be2Re.

- Crystal system: tetragonal
- Symmetry: No. 139

Cell: 2.734 2.734 4.545 Å, 107.50 107.50 90.00°
Sites, in units of the cell vectors:
1 Re 0.000 0.000 0.000
2 Be 0.317 0.317 0.633
3 Be 0.683 0.683 0.367

=====

Model ii:
Density functional theory data (meta-GGA SCAN) for a PBEsol-optimized structure of Be2Re.

- Crystal system: hexagonal
- Symmetry: No. 194

Cell: 4.347 4.347 14.201 Å, 90.00 90.00 120.00°
Sites, in units of the cell vectors:
1 Be 0.333 0.667 0.875
2 Be 0.667 0.333 0.125
3 Be 0.667 0.333 0.375
4 Be 0.333 0.667 0.625
5 Be 0.000 0.500 0.000
6 Be 0.500 0.000 0.000
7 Be 0.500 0.500 0.000
8 Be 0.000 0.500 0.500
9 Be 0.500 0.000 0.500
10 Be 0.500 0.500 0.500
11 Be 0.673 0.836 0.750
12 Be 0.164 0.327 0.750
13 Be 0.164 0.836 0.750
14 Be 0.327 0.164 0.250
15 Be 0.836 0.673 0.250
16 Be 0.836 0.164 0.250
17 Re 0.000 0.000 0.905
18 Re 0.000 0.000 0.095
19 Re 0.000 0.000 0.405
20 Re 0.000 0.000 0.595
21 Re 0.333 0.667 0.158
22 Re 0.667 0.333 0.842
23 Re 0.667 0.333 0.658
24 Re 0.333 0.667 0.342

=====

Verdict on stability: model i comes out at the bottom.

=====

Model i:
Density functional theory data (meta-GGA SCAN) for a PBEsol-optimized structure of BeRe.

- Crystal system: orthorhombic
- Symmetry: No. 63

Cell: 3.095 3.174 4.613 Å, 90.00 109.60 90.00°
Sites, in units of the cell vectors:
1 Re 0.851 0.750 0.701
2 Re 0.149 0.250 0.299
3 Be 0.568 0.750 0.137
4 Be 0.432 0.250 0.863

=====

Model ii:
Density functional theory data (meta-GGA SCAN) for a PBEsol-optimized structure of BeRe.

- Crystal system: cubic
- Symmetry: No. 221

Cell: 2.814 2.814 2.814 Å, 90.00 90.00 90.00°
Sites, in units of the cell vectors:
1 Re 0.000 0.000 0.000
2 Be 0.500 0.500 0.500

=====

Model iii:
Density functional theory data (meta-GGA SCAN) for a PBEsol-optimized structure of BeRe.

- Crystal system: trigonal
- Symmetry: No. 166

Cell: 4.122 4.122 4.420 Å, 62.21 62.21 60.00°
Sites, in units of the cell vectors:
1 Re 0.310 0.310 0.071
2 Re 0.690 0.690 0.929
3 Be 0.099 0.099 0.703
4 Be 0.901 0.901 0.297

=====

Verdict on stability: model iii comes out at the bottom.

=====

Model i:
Density functional theory data (meta-GGA SCAN) for a PBEsol-optimized structure of Be4Re3.

- Crystal system: tetragonal
- Symmetry: No. 139

Cell: 2.750 2.750 10.329 Å, 97.65 97.65 90.00°
Sites, in units of the cell vectors:
1 Be 0.868 0.868 0.737
2 Be 0.132 0.132 0.263
3 Be 0.577 0.577 0.155
4 Be 0.423 0.423 0.845
5 Re 0.000 0.000 0.000
6 Re 0.706 0.706 0.412
7 Re 0.294 0.294 0.588

=====

Model ii:
Density functional theory data (meta-GGA SCAN) for a PBEsol-optimized structure of Be4Re3.

- Crystal system: hexagonal
- Symmetry: No. 191

Cell: 4.182 4.995 4.995 Å, 120.00 90.00 90.00°
Sites, in units of the cell vectors:
1 Be 0.772 0.000 0.000
2 Be 0.228 0.000 0.000
3 Be 0.500 0.333 0.667
4 Be 0.500 0.667 0.333
5 Re 0.000 0.000 0.500
6 Re 0.000 0.500 0.000
7 Re 0.000 0.500 0.500

=====

Verdict on stability: model ii comes out at the bottom.

=====

Model i:
Density functional theory data (meta-GGA SCAN) for a PBEsol-optimized structure of Be2ReRh.

- Crystal system: orthorhombic
- Symmetry: No. 71

Cell: 2.706 4.485 4.662 Å, 118.75 106.87 90.00°
Sites, in units of the cell vectors:
1 Re 0.500 0.000 0.000
2 Rh 0.000 0.500 0.000
3 Be 0.740 0.740 0.480
4 Be 0.260 0.260 0.520

=====

Model ii:
Density functional theory data (meta-GGA SCAN) for a PBEsol-optimized structure of Be2ReRh.

- Crystal system: cubic
- Symmetry: No. 225

Cell: 3.942 3.942 3.942 Å, 60.00 60.00 60.00°
Sites, in units of the cell vectors:
1 Re 0.500 0.500 0.500
2 Rh 0.000 0.000 0.000
3 Be 0.250 0.250 0.250
4 Be 0.750 0.750 0.750

=====

Verdict on stability: model i comes out at the bottom.

=====

Model i:
Density functional theory data (meta-GGA SCAN) for a PBEsol-optimized structure of BeReRu2.

- Crystal system: tetragonal
- Symmetry: No. 123

Cell: 2.802 2.802 6.226 Å, 90.00 90.00 90.00°
Sites, in units of the cell vectors:
1 Re 0.500 0.500 0.500
2 Be 0.500 0.500 0.000
3 Ru 0.000 0.000 0.781
4 Ru 0.000 0.000 0.219

=====

Model ii:
Density functional theory data (meta-GGA SCAN) for a PBEsol-optimized structure of BeReRu2.

- Crystal system: monoclinic
- Symmetry: No. 12

Cell: 2.655 4.773 4.863 Å, 117.48 102.73 96.16°
Sites, in units of the cell vectors:
1 Re 0.000 0.500 0.000
2 Be 0.500 0.000 0.000
3 Ru 0.000 0.000 0.500
4 Ru 0.500 0.500 0.500

=====

Verdict on stability: model ii comes out at the bottom.

=====

Model i:
Density functional theory data (meta-GGA SCAN) for a PBEsol-optimized structure of ScBeRe.

- Crystal system: trigonal
- Symmetry: No. 156

Cell: 2.686 4.349 4.349 Å, 120.00 90.00 90.00°
Sites, in units of the cell vectors:
1 Sc 0.327 0.667 0.333
2 Re 0.755 0.333 0.667
3 Be 0.918 0.000 0.000

=====

Model ii:
Density functional theory data (meta-GGA SCAN) for a PBEsol-optimized structure of ScBeRe.

- Crystal system: cubic
- Symmetry: No. 216

Cell: 4.161 4.161 4.161 Å, 60.00 60.00 60.00°
Sites, in units of the cell vectors:
1 Sc 0.000 0.000 0.000
2 Re 0.250 0.250 0.250
3 Be 0.500 0.500 0.500

=====

Verdict on stability: model ii comes out at the bottom.